1.
Material: Mg3Zn2CdAg3
Method: DFT, GGA-PBE
State: optimized geometry

Computed properties:
Crystal system: hexagonal
Formation enthalpy at 0 K: -78 meV per atom

Lattice parameters (Å, degrees): 3.0330 7.9324 7.9324 120.00 90.00 90.00
With the nearest neighbours (Å) after each atom.
Atoms (fractional coordinates):
Mg  0.5000  0.6889  0.0000  2 Zn 2.74, 2 Cd 2.90, 2 Ag 2.94, 2 Mg 3.03
Mg  0.5000  0.0000  0.6889  2 Zn 2.74, 2 Cd 2.90, 2 Ag 2.94, 2 Mg 3.03
Mg  0.5000  0.3111  0.3111  2 Zn 2.74, 2 Cd 2.90, 2 Ag 2.94, 2 Mg 3.03
Zn  0.5000  0.6667  0.3333  3 Mg 2.74, 6 Ag 2.93, 2 Zn 3.03
Zn  0.5000  0.3333  0.6667  3 Mg 2.74, 6 Ag 2.93, 2 Zn 3.03
Cd  0.0000  0.0000  0.0000  6 Mg 2.90, 3 Ag 2.95, 2 Cd 3.03
Ag  0.0000  0.6281  0.6281  4 Zn 2.93, 6 Mg 2.94-3.13, 1 Cd 2.95, 2 Ag 3.03
Ag  0.0000  0.0000  0.3719  4 Zn 2.93, 6 Mg 2.94-3.13, 1 Cd 2.95, 2 Ag 3.03
Ag  0.0000  0.3719  0.0000  4 Zn 2.93, 6 Mg 2.94-3.13, 1 Cd 2.95, 2 Ag 3.03

2.
Material: ZnOs3Au
Method: DFT, GGA-PBE
State: optimized geometry

Computed properties:
Offset from the most stable computed form: 17.428 kcal/mol of atoms
Crystal system: cubic
Formation enthalpy at 0 K: 2941 meV per atom

Lattice parameters (Å, degrees): 4.8787 4.8787 4.8787 90.00 90.00 90.00
With the nearest neighbours (Å) after each atom.
Atoms (fractional coordinates):
Os  0.0000  0.5000  0.0000  2 Au 2.44
Os  0.0000  0.0000  0.5000  2 Au 2.44
Os  0.5000  0.0000  0.0000  2 Au 2.44
Zn  0.5000  0.5000  0.5000  12 Os 3.45
Au  0.0000  0.0000  0.0000  6 Os 2.44

Question: The highest formation enthalpy at 0 K belongs to which entry?
Answer: ZnOs3Au

Question: Number 2 is which compound?
Answer: ZnOs3Au

Question: Which value of formation enthalpy at 0 K does entry 1 give?
Answer: -78 meV per atom

Question: The lowest formation enthalpy at 0 K belongs to which entry?
Answer: Mg3Zn2CdAg3